Tb3Dy3In | PBE | relaxed

Energy relative to the elements: -10 kJ/mol of formula units
Offset from the most stable computed form: 91 meV per atom
N(E_F): 10.86 states/eV/f.u.

a = 13.2737 Å, b = 5.1885 Å, c = 12.7274 Å
α = 90.00°, β = 90.00°, γ = 90.00°
Last column: nearest neighbours and their distance in Å.
Space group Pnma (No. 62)
Unique sites:
Tb (0.0853, 0.2500, 0.1918) (multiplicity 4)  4 Dy 3.21-3.55, 2 Tb 3.32-3.50, 2 In 3.56
Tb (0.1757, 0.7500, 0.7673) (multiplicity 4)  2 In 3.23, 4 Tb 3.32-3.50
Tb (0.1860, 0.7500, 0.3709) (multiplicity 4)  1 In 3.27, 2 Tb 3.44, 3 Dy 3.52
Dy (0.0170, 0.2500, 0.4337) (multiplicity 4)  2 Dy 3.13, 3 In 3.14-3.23, 1 Tb 3.21
Dy (0.0550, 0.2500, 0.9298) (multiplicity 4)  1 In 3.12, 1 Tb 3.36, 2 Dy 3.47
Dy (0.2243, 0.7500, 0.0568) (multiplicity 4)  1 In 3.36, 5 Tb 3.62-3.74, 1 Dy 3.71
In (0.0545, 0.2500, 0.6845) (multiplicity 4)  5 Dy 3.12-3.36, 3 Tb 3.23-3.27